SmTm2Pb | PBE-GGA | optimized geometry

a = 3.630 Å, b = 3.630 Å, c = 9.158 Å
α = 90.00°, β = 90.00°, γ = 90.00°
Fractional coordinates of all 4 atoms:
Sm1 0.000 0.000 0.000
Tm1 0.500 0.500 0.267
Tm2 0.500 0.500 0.733
Pb1 0.000 0.000 0.500

Calculated values
- Total moment: 0.0 μB/cell
- Energy of formation: -18.9 kJ per mole of atoms
- Mass density: 9.572 g cm⁻³
- Distance to the lowest polymorph of the same formula: 0.44 eV/f.u.
- Crystal system: tetragonal

Ac12Ni5Ag3 | PBE-GGA | optimized geometry

a = 15.571 Å, b = 15.571 Å, c = 15.571 Å
α = 109.47°, β = 109.47°, γ = 109.47°
Fractional coordinates of all 80 atoms:
Ac1 0.031 0.208 0.122
Ac2 0.031 0.323 0.908
Ac3 0.086 0.708 0.677
Ac4 0.086 0.878 0.408
Ac5 0.092 0.622 0.414
Ac6 0.092 0.969 0.677
Ac7 0.122 0.031 0.208
Ac8 0.122 0.592 0.914
Ac9 0.177 0.208 0.586
Ac10 0.177 0.469 0.592
Ac11 0.208 0.122 0.031
Ac12 0.208 0.586 0.177
Ac13 0.292 0.323 0.914
Ac14 0.292 0.469 0.378
Ac15 0.323 0.908 0.031
Ac16 0.323 0.914 0.292
Ac17 0.378 0.292 0.469
Ac18 0.378 0.586 0.908
Ac19 0.408 0.086 0.878
Ac20 0.408 0.823 0.531
Ac21 0.414 0.092 0.622
Ac22 0.414 0.823 0.792
Ac23 0.469 0.378 0.292
Ac24 0.469 0.592 0.177
Ac25 0.531 0.408 0.823
Ac26 0.531 0.622 0.708
Ac27 0.586 0.177 0.208
Ac28 0.586 0.908 0.378
Ac29 0.592 0.177 0.469
Ac30 0.592 0.914 0.122
Ac31 0.622 0.414 0.092
Ac32 0.622 0.708 0.531
Ac33 0.677 0.086 0.708
Ac34 0.677 0.092 0.969
Ac35 0.708 0.531 0.622
Ac36 0.708 0.677 0.086
Ac37 0.792 0.414 0.823
Ac38 0.792 0.878 0.969
Ac39 0.823 0.531 0.408
Ac40 0.823 0.792 0.414
Ac41 0.878 0.408 0.086
Ac42 0.878 0.969 0.792
Ac43 0.908 0.031 0.323
Ac44 0.908 0.378 0.586
Ac45 0.914 0.122 0.592
Ac46 0.914 0.292 0.323
Ac47 0.969 0.677 0.092
Ac48 0.969 0.792 0.878
Ni1 0.000 0.000 0.000
Ni2 0.000 0.000 0.500
Ni3 0.000 0.500 0.000
Ni4 0.000 0.500 0.500
Ni5 0.125 0.750 0.875
Ni6 0.125 0.875 0.250
Ni7 0.250 0.125 0.875
Ni8 0.250 0.625 0.375
Ni9 0.375 0.250 0.625
Ni10 0.375 0.625 0.750
Ni11 0.500 0.000 0.000
Ni12 0.500 0.000 0.500
Ni13 0.500 0.500 0.000
Ni14 0.500 0.500 0.500
Ni15 0.625 0.375 0.250
Ni16 0.625 0.750 0.375
Ni17 0.750 0.375 0.625
Ni18 0.750 0.875 0.125
Ni19 0.875 0.125 0.750
Ni20 0.875 0.250 0.125
Ag1 0.125 0.250 0.375
Ag2 0.125 0.375 0.750
Ag3 0.250 0.375 0.125
Ag4 0.250 0.875 0.625
Ag5 0.375 0.125 0.250
Ag6 0.375 0.750 0.125
Ag7 0.625 0.250 0.875
Ag8 0.625 0.875 0.750
Ag9 0.750 0.125 0.375
Ag10 0.750 0.625 0.875
Ag11 0.875 0.625 0.250
Ag12 0.875 0.750 0.625

Calculated values
- Total moment: 0.0 μB/cell
- Energy of formation: -0.5 kJ per mole of atoms
- Mass density: 7.637 g cm⁻³
- Crystal system: cubic

- total moment of number 1 (SmTm2Pb)?
  0.0 μB/cell

- energy of formation of number 2 (Ac12Ni5Ag3)?
  -0.5 kJ per mole of atoms

- What is the energy of formation in the second record?
  -0.5 kJ per mole of atoms

Copy entry 1 word for word.
SmTm2Pb | PBE-GGA | optimized geometry

a = 3.630 Å, b = 3.630 Å, c = 9.158 Å
α = 90.00°, β = 90.00°, γ = 90.00°
Fractional coordinates of all 4 atoms:
Sm1 0.000 0.000 0.000
Tm1 0.500 0.500 0.267
Tm2 0.500 0.500 0.733
Pb1 0.000 0.000 0.500

Calculated values
- Total moment: 0.0 μB/cell
- Energy of formation: -18.9 kJ per mole of atoms
- Mass density: 9.572 g cm⁻³
- Distance to the lowest polymorph of the same formula: 0.44 eV/f.u.
- Crystal system: tetragonal